Material: AcNdSm3
Method: DFT, PBE
State: optimized geometry

a = 6.058 Å, b = 11.095 Å, c = 6.162 Å
α = 90.00°, β = 110.29°, γ = 90.00°
Space group P2_1/m (No. 11)
One atom of each set of equivalent atoms:
1 Ac 0.229 0.250 0.242 [2 per cell]
2 Nd 0.421 0.750 0.118 [2 per cell]
3 Sm 0.080 0.750 0.379 [2 per cell]
4 Sm 0.281 0.509 0.720 [4 per cell]

Properties
The value obtained for the energy above the lowest structure with this stoichiometry is 297.4 meV/atom. For the density of states at the Fermi level, the calculation gives 13.4 states/eV per cell. Its crystal system is monoclinic.